Crystalline NbFeBPt at its relaxed geometry. Source: the Open Quantum Materials Database, functional PBE.

a b c (Å): 4.223 4.223 4.223
angles (deg): 60.00 60.00 60.00
Fractional coordinates of all 4 atoms:
Pt  0.250  0.250  0.250
Fe  0.750  0.750  0.750
Nb  0.500  0.500  0.500
B  0.000  0.000  0.000

Calculated values
Crystal system: cubic
Density in kg/m³: 11056
E in eV per atom: -7.461
Offset from the most stable computed form in meV/atom: 62